(1)
Compound: ErThOs
Source: Alexandria
Functional: PBE
Structure: optimized geometry

Computed properties:
The total magnetic moment is 0.00 μB/cell. The formation energy comes out at -0.163 eV/atom.

a b c (Å): 3.402 3.402 13.419
angles (deg): 90.00 90.00 90.00
Space group I4mm (No. 107)
Unique sites:
1 Er 0.000 0.000 0.000
2 Th 0.000 0.000 0.259
3 Os 0.000 0.000 0.627



(2)
Compound: RbLiHgBr2
Source: Alexandria
Functional: PBE
Structure: optimized geometry

Computed properties:
The total magnetic moment is 0.00 μB/cell. As for the raw formation energy: -1.166 eV per atom.

a b c (Å): 5.444 5.444 5.348
angles (deg): 90.00 90.00 90.00
Space group P4/mmm (No. 123)
Unique sites:
1 Rb 0.000 0.000 0.000
2 Li 0.500 0.500 0.500
3 Hg 0.500 0.500 0.000
4 Br 0.000 0.500 0.500



(3)
Compound: CaTcHg2Cl
Source: Alexandria
Functional: PBE
Structure: optimized geometry

Computed properties:
The total magnetic moment is 0.00 μB/cell. As for the raw formation energy: 0.074 eV per atom.

a b c (Å): 5.387 5.387 4.584
angles (deg): 90.00 90.00 90.00
Space group P4/mmm (No. 123)
Unique sites:
1 Ca 0.000 0.000 0.000
2 Tc 0.500 0.500 0.500
3 Hg 0.000 0.500 0.500
4 Cl 0.500 0.500 0.000